[1]
Entry from Alexandria: La2VSi after structural relaxation (PBE-GGA).

Magnetic moment   0.71 μB per atom
Formation energy without anion corrections   0.359 eV/atom
DFT total energy   -5.740 eV/atom
N(E_F)   5.7 states/eV/f.u.
Crystal system   tetragonal
Symmetry   No. 122

Lattice parameters (Å, degrees): 6.5415 6.5415 6.5415 102.36 102.36 124.87
Closest atoms and distances in Å follow each position.
Atoms (fractional coordinates):
La  0.1177  0.1250  0.4927  2 V 2.96, 2 La 3.03, 2 Si 3.04
La  0.3750  0.8823  0.0073  2 V 2.96, 2 La 3.03, 2 Si 3.04
La  0.6323  0.6250  0.5073  2 V 2.96, 2 La 3.03, 2 Si 3.04
La  0.8750  0.3677  0.9927  2 V 2.96, 2 La 3.03, 2 Si 3.04
V  0.0000  0.0000  0.0000  4 La 2.96, 2 Si 3.03
V  0.7500  0.2500  0.5000  4 La 2.96, 2 Si 3.03
Si  0.2500  0.7500  0.5000  2 V 3.03, 4 La 3.04
Si  0.5000  0.5000  0.0000  2 V 3.03, 4 La 3.04

---

[2]
Entry from Alexandria: LaVSi3 after structural relaxation (PBE-GGA).

Magnetic moment   0.00 μB per atom
Formation energy without anion corrections   -0.302 eV/atom
DFT total energy   -6.365 eV/atom
N(E_F)   2.8 states/eV/f.u.
Crystal system   cubic
Symmetry   No. 221

Lattice parameters (Å, degrees): 4.6016 4.6016 4.6016 90.00 90.00 90.00
Closest atoms and distances in Å follow each position.
Atoms (fractional coordinates):
La  0.0000  0.0000  0.0000  12 Si 3.25
V  0.5000  0.5000  0.5000  6 Si 2.30
Si  0.0000  0.5000  0.5000  2 V 2.30
Si  0.5000  0.0000  0.5000  2 V 2.30
Si  0.5000  0.5000  0.0000  2 V 2.30

---

[3]
Entry from Alexandria: LaVSi2 after structural relaxation (PBE-GGA).

Magnetic moment   0.67 μB per atom
Formation energy without anion corrections   -0.063 eV/atom
Offset from the most stable computed form   316.2 meV/atom
DFT total energy   -6.286 eV/atom
N(E_F)   2.1 states/eV/f.u.
Crystal system   cubic
Symmetry   No. 225

Lattice parameters (Å, degrees): 4.7992 4.7992 4.7992 60.00 60.00 60.00
Closest atoms and distances in Å follow each position.
Atoms (fractional coordinates):
La  0.0000  0.0000  0.0000  8 Si 2.94
V  0.5000  0.5000  0.5000  8 Si 2.94
Si  0.2500  0.2500  0.2500  4 La 2.94, 4 V 2.94
Si  0.7500  0.7500  0.7500  4 La 2.94, 4 V 2.94

---

[4]
Entry from Alexandria: LaSi2W after structural relaxation (PBE-GGA).

Magnetic moment   0.00 μB per atom
Formation energy without anion corrections   0.392 eV/atom
DFT total energy   -6.790 eV/atom
N(E_F)   3.1 states/eV/f.u.
Crystal system   tetragonal
Symmetry   No. 123

Lattice parameters (Å, degrees): 4.3628 4.3628 4.0465 90.00 90.00 90.00
Closest atoms and distances in Å follow each position.
Atoms (fractional coordinates):
La  0.0000  0.0000  0.0000  8 Si 2.98, 4 W 3.08
Si  0.0000  0.5000  0.5000  4 W 2.98, 4 La 2.98, 4 Si 3.08
Si  0.5000  0.0000  0.5000  4 W 2.98, 4 La 2.98, 4 Si 3.08
W  0.5000  0.5000  0.0000  8 Si 2.98, 4 La 3.08

---

[5]
Entry from Alexandria: La2SiW after structural relaxation (PBE-GGA).

Magnetic moment   0.35 μB per atom
Formation energy without anion corrections   0.394 eV/atom
DFT total energy   -6.664 eV/atom
N(E_F)   5.1 states/eV/f.u.
Crystal system   cubic
Symmetry   No. 216

Lattice parameters (Å, degrees): 5.0169 5.0169 5.0169 60.00 60.00 60.00
Closest atoms and distances in Å follow each position.
Atoms (fractional coordinates):
La  0.0000  0.0000  0.0000  4 W 3.07, 4 La 3.07
La  0.2500  0.2500  0.2500  4 Si 3.07, 4 La 3.07
Si  0.5000  0.5000  0.5000  4 W 3.07, 4 La 3.07
W  0.7500  0.7500  0.7500  4 Si 3.07, 4 La 3.07

---

[6]
Entry from Alexandria: LaSi2W after structural relaxation (PBE-GGA).

Magnetic moment   0.00 μB per atom
Formation energy without anion corrections   -0.027 eV/atom
DFT total energy   -7.208 eV/atom
N(E_F)   3.5 states/eV/f.u.
Crystal system   orthorhombic
Symmetry   No. 44

Lattice parameters (Å, degrees): 7.3644 7.3644 7.3644 152.88 152.85 38.75
Closest atoms and distances in Å follow each position.
Atoms (fractional coordinates):
La  0.0000  0.0000  0.0000  6 Si 3.03-3.14
Si  0.6294  0.6294  0.0000  2 W 2.48
Si  0.8111  0.3111  0.5000  4 W 2.55
W  0.2575  0.7575  0.5000  6 Si 2.48-2.55

---

[7]
Entry from Alexandria: LaSiW2 after structural relaxation (PBE-GGA).

Magnetic moment   0.00 μB per atom
Formation energy without anion corrections   0.610 eV/atom
DFT total energy   -8.454 eV/atom
N(E_F)   3.7 states/eV/f.u.
Crystal system   orthorhombic
Symmetry   No. 44

Lattice parameters (Å, degrees): 5.7431 5.7431 5.7431 146.93 130.07 61.20
Closest atoms and distances in Å follow each position.
Atoms (fractional coordinates):
La  0.0000  0.0000  0.0000  6 W 2.93-3.16, 2 Si 3.19, 2 La 3.27
Si  0.2908  0.7908  0.5000  6 W 2.80-2.99
W  0.5207  0.5207  0.0000  2 W 2.61, 2 Si 2.80
W  0.7266  0.2266  0.5000  2 W 2.61

---

[8]
Entry from Alexandria: LaSi2W after structural relaxation (PBE-GGA).

Magnetic moment   0.00 μB per atom
Formation energy without anion corrections   -0.143 eV/atom
DFT total energy   -7.324 eV/atom
N(E_F)   2.7 states/eV/f.u.
Crystal system   trigonal
Symmetry   No. 166

Lattice parameters (Å, degrees): 6.7747 6.7747 6.7747 33.37 33.37 33.37
Closest atoms and distances in Å follow each position.
Atoms (fractional coordinates):
La  0.0000  0.0000  0.0000  6 Si 3.01
Si  0.2291  0.2291  0.2291  3 W 2.55
Si  0.7709  0.7709  0.7709  3 W 2.55
W  0.5000  0.5000  0.5000  6 Si 2.55

---

[9]
Entry from Alexandria: La2SiW after structural relaxation (PBE-GGA).

Magnetic moment   0.00 μB per atom
Formation energy without anion corrections   -0.028 eV/atom
DFT total energy   -7.085 eV/atom
N(E_F)   3.1 states/eV/f.u.
Crystal system   tetragonal
Symmetry   No. 99

Lattice parameters (Å, degrees): 3.4828 3.4828 8.5036 90.00 90.00 90.00
Closest atoms and distances in Å follow each position.
Atoms (fractional coordinates):
La  0.0000  0.0000  0.0000  1 Si 3.02, 4 W 3.25
La  0.5000  0.5000  0.4216  1 W 2.79, 4 Si 3.11
Si  0.0000  0.0000  0.6454  4 W 2.62
W  0.5000  0.5000  0.7498  4 Si 2.62, 1 La 2.79

---

[10]
Entry from Alexandria: LaSiW4 after structural relaxation (PBE-GGA).

Magnetic moment   0.00 μB per atom
Formation energy without anion corrections   0.642 eV/atom
DFT total energy   -9.718 eV/atom
N(E_F)   5.5 states/eV/f.u.
Crystal system   cubic
Symmetry   No. 216

Lattice parameters (Å, degrees): 5.4655 5.4655 5.4655 60.00 60.00 60.00
Closest atoms and distances in Å follow each position.
Atoms (fractional coordinates):
La  0.0000  0.0000  0.0000  12 W 3.20, 4 Si 3.35
Si  0.7500  0.7500  0.7500  12 W 3.20, 4 La 3.35
W  0.3752  0.3752  0.3752  6 W 2.73-2.74
W  0.3752  0.3752  0.8744  6 W 2.73-2.74
W  0.3752  0.8744  0.3752  6 W 2.73-2.74
W  0.8744  0.3752  0.3752  6 W 2.73-2.74

---

[11]
Entry from Alexandria: LaSi2W after structural relaxation (PBE-GGA).

Magnetic moment   0.00 μB per atom
Formation energy without anion corrections   0.467 eV/atom
DFT total energy   -6.715 eV/atom
N(E_F)   3.3 states/eV/f.u.
Crystal system   tetragonal
Symmetry   No. 119

Lattice parameters (Å, degrees): 5.3017 5.3017 5.3017 133.73 133.73 67.52
Closest atoms and distances in Å follow each position.
Atoms (fractional coordinates):
La  0.0000  0.0000  0.0000  8 Si 2.95-3.03, 4 W 3.03
Si  0.2500  0.7500  0.5000  4 W 2.95, 4 La 3.03, 4 Si 3.03
Si  0.5000  0.5000  0.0000  4 La 2.95, 4 W 3.03, 4 Si 3.03
W  0.7500  0.2500  0.5000  8 Si 2.95-3.03, 4 La 3.03

---

[12]
Entry from Alexandria: La3SiW after structural relaxation (PBE-GGA).

Magnetic moment   0.00 μB per atom
Formation energy without anion corrections   0.432 eV/atom
Offset from the most stable computed form   0.0 meV/atom
DFT total energy   -6.199 eV/atom
N(E_F)   3.4 states/eV/f.u.
Crystal system   cubic
Symmetry   No. 221

Lattice parameters (Å, degrees): 5.4308 5.4308 5.4308 90.00 90.00 90.00
Closest atoms and distances in Å follow each position.
Atoms (fractional coordinates):
La  0.0000  0.0000  0.5000  2 W 2.72
La  0.0000  0.5000  0.0000  2 W 2.72
La  0.5000  0.0000  0.0000  2 W 2.72
Si  0.5000  0.5000  0.5000  12 La 3.84
W  0.0000  0.0000  0.0000  6 La 2.72

---

[13]
Entry from Alexandria: LaSiW2 after structural relaxation (PBE-GGA).

Magnetic moment   0.00 μB per atom
Formation energy without anion corrections   0.797 eV/atom
DFT total energy   -8.267 eV/atom
N(E_F)   3.4 states/eV/f.u.
Crystal system   tetragonal
Symmetry   No. 139

Lattice parameters (Å, degrees): 5.1524 5.1524 5.1524 131.95 131.95 70.31
Closest atoms and distances in Å follow each position.
Atoms (fractional coordinates):
La  0.0000  0.0000  0.0000  4 Si 2.97, 8 W 2.97
Si  0.5000  0.5000  0.0000  4 La 2.97, 8 W 2.97
W  0.2500  0.7500  0.5000  4 W 2.97, 4 La 2.97, 4 Si 2.97
W  0.7500  0.2500  0.5000  4 W 2.97, 4 La 2.97, 4 Si 2.97

---

[14]
Entry from Alexandria: LaSi2W after structural relaxation (PBE-GGA).

Magnetic moment   0.00 μB per atom
Formation energy without anion corrections   0.324 eV/atom
DFT total energy   -6.857 eV/atom
N(E_F)   3.1 states/eV/f.u.
Crystal system   monoclinic
Symmetry   No. 12

Lattice parameters (Å, degrees): 4.8472 4.8472 3.4703 98.65 98.65 103.75
Closest atoms and distances in Å follow each position.
Atoms (fractional coordinates):
La  0.0000  0.0000  0.0000  4 Si 2.76, 2 W 2.99
Si  0.0000  0.5000  0.5000  2 W 2.76, 2 La 2.76, 2 Si 2.99
Si  0.5000  0.0000  0.5000  2 W 2.76, 2 La 2.76, 2 Si 2.99
W  0.5000  0.5000  0.0000  4 Si 2.76, 2 La 2.99

---

[15]
Entry from Alexandria: LaSiW2 after structural relaxation (PBE-GGA).

Magnetic moment   0.00 μB per atom
Formation energy without anion corrections   0.442 eV/atom
DFT total energy   -8.623 eV/atom
N(E_F)   3.6 states/eV/f.u.
Crystal system   orthorhombic
Symmetry   No. 71

Lattice parameters (Å, degrees): 6.0844 6.0844 6.0844 153.98 128.82 58.29
Closest atoms and distances in Å follow each position.
Atoms (fractional coordinates):
La  0.0000  0.0000  0.0000  2 La 2.74, 4 Si 2.96
Si  0.5000  0.5000  0.0000  4 W 2.62, 2 Si 2.74
W  0.2901  0.7901  0.5000  2 Si 2.62, 2 W 2.74
W  0.7099  0.2099  0.5000  2 Si 2.62, 2 W 2.74